## V3ZnO7 (GGA+U)

Data for a relaxed structure of V3ZnO7.

The calculation puts the energy at -7.14 eV/atom.

abc: 10.1989 10.2817 5.4529
angles: 90.00 90.00 90.00
Closest atoms and distances in Å follow each position.
Space group Pnma (No. 62)
Inequivalent atoms, fractional coordinates:
V (0.1875, 0.0305, 0.2382) (multiplicity 8)  1 O 1.68
V (0.2214, 0.2500, 0.7291) (multiplicity 4)  1 O 1.68
Zn (0.0552, 0.7500, 0.6047) (multiplicity 4)  5 O 2.02-2.17
O (0.0374, 0.0973, 0.2408) (multiplicity 8)  1 V 1.68
O (0.0573, 0.2500, 0.7113) (multiplicity 4)  1 V 1.68
O (0.2081, 0.6210, 0.4743) (multiplicity 8)  3 V 2.02-2.03, 1 Zn 2.17
O (0.2194, 0.6135, 0.0084) (multiplicity 8)  3 V 1.95-1.97

## VZn3O3 (GGA+U)

Data for a relaxed structure of VZn3O3.

The calculation puts the energy at -4.33 eV/atom.

abc: 5.7968 5.7968 5.7968
angles: 90.00 90.00 90.00
Closest atoms and distances in Å follow each position.
Space group Pm-3n (No. 223)
Inequivalent atoms, fractional coordinates:
V (0.0000, 0.0000, 0.0000) (multiplicity 2)  12 O 3.24, 12 Zn 3.24
Zn (0.0000, 0.2500, 0.5000) (multiplicity 6)  4 O 2.05
O (0.0000, 0.5000, 0.2500) (multiplicity 6)  4 Zn 2.05

## VZn2O5 (GGA+U)

Data for a relaxed structure of VZn2O5.

The calculation puts the energy at -5.71 eV/atom.

abc: 3.6381 10.2483 10.2942
angles: 90.00 90.00 90.00
Closest atoms and distances in Å follow each position.
Space group Cmcm (No. 63)
Inequivalent atoms, fractional coordinates:
V (0.0000, 0.1520, 0.2500) (multiplicity 4)  4 O 1.75-1.89
Zn (0.0000, 0.1457, 0.5604) (multiplicity 8)  5 O 1.96-2.19
O (0.0000, 0.0380, 0.1231) (multiplicity 8)  1 V 1.75
O (0.0000, 0.2911, 0.0942) (multiplicity 8)  3 Zn 1.96-2.18, 1 V 2.15
O (0.0000, 0.2989, 0.7500) (multiplicity 4)  2 V 1.89

## V4ZnO6 (GGA+U)

Data for a relaxed structure of V4ZnO6.

The calculation puts the energy at -7.23 eV/atom.

abc: 2.9600 10.1059 15.7153
angles: 90.00 90.00 90.00
Closest atoms and distances in Å follow each position.
Space group Cmcm (No. 63)
Inequivalent atoms, fractional coordinates:
V (0.0000, 0.1081, 0.1386) (multiplicity 8)  5 O 2.06-2.13
V (0.0000, 0.3674, 0.0473) (multiplicity 8)  6 O 2.08-2.18
Zn (0.0000, 0.1434, 0.7500) (multiplicity 4)  2 O 2.05
O (0.0000, 0.0000, 0.0000) (multiplicity 4)  4 V 2.13
O (0.0000, 0.2169, 0.2500) (multiplicity 4)  2 Zn 2.05, 2 V 2.07
O (0.0000, 0.2743, 0.5778) (multiplicity 8)  5 V 2.11-2.18
O (0.0000, 0.4713, 0.1617) (multiplicity 8)  3 V 2.06-2.08

## VZn2O (GGA+U)

Data for a relaxed structure of VZn2O.

The calculation puts the energy at -4.00 eV/atom.

abc: 7.0525 7.0525 4.5045
angles: 90.00 90.00 90.00
Closest atoms and distances in Å follow each position.
Space group I-42d (No. 122)
Inequivalent atoms, fractional coordinates:
V (0.0000, 0.0000, 0.0000) (multiplicity 4)  2 O 2.25
Zn (0.1783, 0.2500, 0.6250) (multiplicity 8)  2 O 2.24, 2 Zn 2.47
O (0.0000, 0.0000, 0.5000) (multiplicity 4)  4 Zn 2.24, 2 V 2.25

## V3ZnO9 (GGA+U)

Data for a relaxed structure of V3ZnO9.

The calculation puts the energy at -6.77 eV/atom.

abc: 8.6628 10.4834 7.8587
angles: 90.00 90.00 90.00
Closest atoms and distances in Å follow each position.
Space group C222_1 (No. 20)
Inequivalent atoms, fractional coordinates:
V (0.0064, 0.1990, 0.4688) (multiplicity 8)  4 O 1.67-1.78
V (0.1789, 0.5000, 0.0000) (multiplicity 4)  4 O 1.80-1.83
Zn (0.1839, 0.5000, 0.5000) (multiplicity 4)  6 O 2.05-2.23
O (0.0000, 0.1565, 0.2500) (multiplicity 4)  2 V 1.78
O (0.0054, 0.3641, 0.4865) (multiplicity 8)  1 V 1.74
O (0.1381, 0.4788, 0.7775) (multiplicity 8)  1 V 1.80
O (0.1505, 0.1329, 0.9438) (multiplicity 8)  1 V 1.67
O (0.1790, 0.1257, 0.5427) (multiplicity 8)  2 V 1.78-1.83

Q: Which value of energy does entry 6 give?
A: -6.77 eV/atom

Q: Look up the energy of the third one.
A: -5.71 eV/atom

What did the second record say?
## VZn3O3 (GGA+U)

Data for a relaxed structure of VZn3O3.

The calculation puts the energy at -4.33 eV/atom.

abc: 5.7968 5.7968 5.7968
angles: 90.00 90.00 90.00
Closest atoms and distances in Å follow each position.
Space group Pm-3n (No. 223)
Inequivalent atoms, fractional coordinates:
V (0.0000, 0.0000, 0.0000) (multiplicity 2)  12 O 3.24, 12 Zn 3.24
Zn (0.0000, 0.2500, 0.5000) (multiplicity 6)  4 O 2.05
O (0.0000, 0.5000, 0.2500) (multiplicity 6)  4 Zn 2.05

Copy entry 2 word for word.
## VZn3O3 (GGA+U)

Data for a relaxed structure of VZn3O3.

The calculation puts the energy at -4.33 eV/atom.

abc: 5.7968 5.7968 5.7968
angles: 90.00 90.00 90.00
Closest atoms and distances in Å follow each position.
Space group Pm-3n (No. 223)
Inequivalent atoms, fractional coordinates:
V (0.0000, 0.0000, 0.0000) (multiplicity 2)  12 O 3.24, 12 Zn 3.24
Zn (0.0000, 0.2500, 0.5000) (multiplicity 6)  4 O 2.05
O (0.0000, 0.5000, 0.2500) (multiplicity 6)  4 Zn 2.05